# 1
Density functional theory data (GGA-PBE) for a relaxed YOsSe2 crystal.

Lattice parameters (Å, degrees): 5.1320 5.1320 8.2245 71.82 71.82 90.00
Element x y z (fractional)
Se  0.0663  0.6250  0.2500
Se  0.8750  0.9337  0.7500
Se  0.6837  0.1250  0.2500
Se  0.3750  0.3163  0.7500
Os  0.7500  0.2500  0.5000
Os  0.0000  0.0000  0.0000
Y  0.5000  0.5000  0.0000
Y  0.2500  0.7500  0.5000

As for the volume: 24.3 Å³/atom. The formation energy from raw total energies is -336 meV/atom. The calculation puts the energy above the most stable polymorph in this dataset at 183 meV per atom. Its space group is I-42d.

---

# 2
Density functional theory data (GGA-PBE) for a relaxed Y6OsSe5 crystal.

Lattice parameters (Å, degrees): 7.1413 7.1755 7.1762 60.00 80.37 70.46
Element x y z (fractional)
Y  0.2338  0.6120  0.3111
Y  0.7636  0.7702  0.0000
Y  0.7662  0.3880  0.6889
Y  0.2364  0.2298  0.0000
Y  0.2338  0.9232  0.6889
Y  0.7662  0.0768  0.3111
Se  0.5000  0.5000  0.0000
Se  0.5000  0.8248  0.3503
Se  0.5000  0.1752  0.6497
Se  0.0000  0.3350  0.3300
Se  0.0000  0.6650  0.6700
Os  0.0000  0.0000  0.0000

As for the volume: 25.0 Å³/atom. The formation energy from raw total energies is -1516 meV/atom. Its space group is C2/m.

---

# 3
Density functional theory data (GGA-PBE) for a relaxed YOsSe2 crystal.

Lattice parameters (Å, degrees): 5.9275 5.9275 5.9275 141.88 141.88 55.00
Element x y z (fractional)
Y  0.5000  0.5000  0.0000
Se  0.2500  0.7500  0.5000
Se  0.0000  0.0000  0.0000
Os  0.7500  0.2500  0.5000

As for the volume: 19.7 Å³/atom. The formation energy from raw total energies is -97 meV/atom. The calculation puts the energy above the most stable polymorph in this dataset at 422 meV per atom. Its space group is I-4m2.

---

# 4
Density functional theory data (GGA-PBE) for a relaxed YOsSe2 crystal.

Lattice parameters (Å, degrees): 5.0610 5.0610 5.0610 133.88 115.92 82.51
Element x y z (fractional)
Se  0.0528  0.0528  0.0000
Se  0.4472  0.4472  0.0000
Os  0.2500  0.7500  0.5000
Y  0.7500  0.2500  0.5000

As for the volume: 20.2 Å³/atom. The formation energy from raw total energies is -506 meV/atom. The calculation puts the energy above the most stable polymorph in this dataset at 13 meV per atom. Its space group is Immm.

---

# 5
Density functional theory data (GGA-PBE) for a relaxed YOs2Se crystal.

Lattice parameters (Å, degrees): 8.7628 8.7628 8.7628 20.47 20.47 20.47
Element x y z (fractional)
Y  0.7500  0.7500  0.7500
Se  0.2500  0.2500  0.2500
Os  0.9925  0.9925  0.9925
Os  0.5075  0.5075  0.5075

As for the volume: 18.0 Å³/atom. The formation energy from raw total energies is 612 meV/atom. Its space group is R-3m.

---

# 6
Density functional theory data (GGA-PBE) for a relaxed YOs2Se crystal.

Lattice parameters (Å, degrees): 3.1160 3.1160 7.2392 90.00 90.00 90.00
Element x y z (fractional)
Os  0.0000  0.0000  0.0428
Os  0.0000  0.0000  0.4572
Y  0.5000  0.5000  0.7500
Se  0.5000  0.5000  0.2500

As for the volume: 17.6 Å³/atom. The formation energy from raw total energies is 398 meV/atom. Its space group is P4/mmm.

---

# 7
Density functional theory data (GGA-PBE) for a relaxed YOs2Se crystal.

Lattice parameters (Å, degrees): 5.2093 5.2093 5.2093 134.76 134.76 65.90
Element x y z (fractional)
Os  0.0000  0.0000  0.0000
Os  0.2500  0.7500  0.5000
Se  0.5000  0.5000  0.0000
Y  0.7500  0.2500  0.5000

As for the volume: 17.5 Å³/atom. The formation energy from raw total energies is 426 meV/atom. Its space group is I-4m2.

---

# 8
Density functional theory data (GGA-PBE) for a relaxed Y7OsSe5 crystal.

Lattice parameters (Å, degrees): 3.9621 7.0257 24.5133 89.99 90.00 106.38
Element x y z (fractional)
Se  0.4542  0.9084  0.8591
Se  0.5648  0.1295  0.1446
Se  0.2721  0.5441  0.4285
Se  0.4358  0.8715  0.6445
Se  0.5465  0.0930  0.3590
Se  0.9904  0.9807  0.4992
Se  0.7138  0.4277  0.5729
Se  0.0101  0.0201  0.9995
Se  0.7285  0.4570  0.9285
Se  0.2867  0.5733  0.0730
Y  0.3690  0.7379  0.9659
Y  0.8934  0.7868  0.3702
Y  0.3531  0.7062  0.5384
Y  0.5424  0.0848  0.7484
Y  0.2146  0.4292  0.1833
Y  0.7858  0.5717  0.6832
Y  0.0782  0.1563  0.6124
Y  0.6316  0.2631  0.4658
Y  0.8069  0.6138  0.8176
Y  0.1939  0.3878  0.3176
Y  0.6474  0.2948  0.0385
Y  0.9222  0.8444  0.1127
Y  0.1073  0.2147  0.8702
Y  0.4582  0.9164  0.2485
Os  0.8093  0.6186  0.2592
Os  0.1914  0.3828  0.7592

As for the volume: 25.2 Å³/atom. The formation energy from raw total energies is -1435 meV/atom. Its space group is Cm.

---

# 9
Density functional theory data (GGA-PBE) for a relaxed YOs2Se crystal.

Lattice parameters (Å, degrees): 3.0463 3.8850 6.2504 90.00 90.00 90.00
Element x y z (fractional)
Y  0.5000  0.5000  0.7454
Os  0.5000  0.5000  0.2057
Os  0.0000  0.0000  0.0620
Se  0.0000  0.0000  0.4868

As for the volume: 18.5 Å³/atom. The formation energy from raw total energies is 76 meV/atom. Its space group is Pmm2.

---

# 10
Density functional theory data (GGA-PBE) for a relaxed YOs2Se crystal.

Lattice parameters (Å, degrees): 7.5037 7.5037 5.9765 51.11 51.11 90.00
Element x y z (fractional)
Se  0.2500  0.7500  0.5000
Se  0.5000  0.5000  0.0000
Os  0.1984  0.6250  0.2500
Os  0.5516  0.1250  0.2500
Os  0.3750  0.4484  0.7500
Os  0.8750  0.8016  0.7500
Y  0.7500  0.2500  0.5000
Y  0.0000  0.0000  0.0000

As for the volume: 19.4 Å³/atom. The formation energy from raw total energies is 456 meV/atom. Its space group is I-42d.

---

# 11
Density functional theory data (GGA-PBE) for a relaxed YOs3Se crystal.

Lattice parameters (Å, degrees): 4.5869 4.5869 4.5869 90.00 90.00 90.00
Element x y z (fractional)
Y  0.5000  0.5000  0.5000
Os  0.0000  0.5000  0.0000
Os  0.0000  0.0000  0.5000
Os  0.5000  0.0000  0.0000
Se  0.0000  0.0000  0.0000

As for the volume: 19.3 Å³/atom. The formation energy from raw total energies is 928 meV/atom. The calculation puts the energy above the most stable polymorph in this dataset at 0 meV per atom. Its space group is Pm-3m.

---

# 12
Density functional theory data (GGA-PBE) for a relaxed YOsSe2 crystal.

Lattice parameters (Å, degrees): 3.3767 4.6650 4.6650 90.00 90.00 90.00
Element x y z (fractional)
Y  0.5000  0.5000  0.0000
Se  0.0000  0.5000  0.5000
Se  0.0000  0.0000  0.0000
Os  0.5000  0.0000  0.5000

As for the volume: 18.4 Å³/atom. The formation energy from raw total energies is -399 meV/atom. The calculation puts the energy above the most stable polymorph in this dataset at 120 meV per atom. Its space group is P4/mmm.

---

no.,Fermi-level density of states (states/eV per cell),DFT total energy (eV per cell)
1,6.06,-52.0
2,9.90,-85.6
3,4.70,-25.1
4,2.05,-26.7
5,3.63,-30.0
6,4.12,-30.8
7,4.86,-30.7
8,12.82,-185.1
9,1.72,-32.1
10,9.77,-61.2
11,3.16,-39.0
12,3.35,-26.3